No. 1
Zn6AsPd12 | PBE | relaxed

It has space group R-3 (No. 148, hexagonal axes), with a = 10.5137 Å, b = 10.5137 Å, c = 10.3040 Å, α = 90.00°, β = 90.00° and γ = 120.00°. The inequivalent atoms are Zn at (0.0427, 0.1882, 0.1827), As at (0.0000, 0.0000, 0.5000), Pd at (0.0522, 0.2452, 0.4274) and Pd at (0.0613, 0.2586, 0.9334).

Its total energy is -4.11 eV/atom. The value obtained for the density of states at the Fermi level is 22.06 states/eV per cell.

=====

No. 2
Zn12As3Pd5 | PBE | relaxed

It has space group Ia-3d (No. 230), with a = 14.809 Å, b = 14.809 Å, c = 14.809 Å, α = 90.00°, β = 90.00° and γ = 90.00°. The inequivalent atoms are Zn at (0.020, 0.079, 0.648), As at (0.000, 0.250, 0.125), Pd at (0.000, 0.000, 0.000) and Pd at (0.000, 0.250, 0.375).

Its total energy is -2.63 eV/atom. The value obtained for the density of states at the Fermi level is 95.15 states/eV per cell.

=====

No. 3
ZnAsPd4 | PBE | relaxed

It has space group Pnma (No. 62), with a = 6.725 Å, b = 3.643 Å, c = 15.256 Å, α = 90.00°, β = 90.00° and γ = 90.00°. The inequivalent atoms are Zn at (0.244, 0.250, 0.192), As at (0.249, 0.250, 0.940), Pd at (0.010, 0.750, 0.569), Pd at (0.046, 0.750, 0.284), Pd at (0.121, 0.750, 0.847) and Pd at (0.140, 0.750, 0.059).

As for the polymorph energy (0 for the lowest one): 0.0 meV/atom. The value obtained for the density of states at the Fermi level is 10.13 states/eV per cell.

=====

No. 4
ZnAsPd3 | PBE | relaxed

It has space group P2/m (No. 10), with a = 5.414 Å, b = 3.935 Å, c = 8.239 Å, α = 90.00°, β = 108.67° and γ = 90.00°. The inequivalent atoms are Zn at (0.169, 0.000, 0.348), As at (0.393, 0.500, 0.158), Pd at (0.000, 0.500, 0.500), Pd at (0.093, 0.500, 0.856), Pd at (0.350, 0.000, 0.705) and Pd at (0.500, 0.500, 0.500).

As for the polymorph energy (0 for the lowest one): 45.4 meV/atom. The value obtained for the density of states at the Fermi level is 4.23 states/eV per cell.

=====

No. 5
Zn3AsPd6 | PBE | relaxed

It has space group P2_1/c (No. 14), with a = 5.927 Å, b = 7.048 Å, c = 9.624 Å, α = 90.00°, β = 127.08° and γ = 90.00°. The inequivalent atoms are Zn at (0.000, 0.000, 0.000), Zn at (0.154, 0.137, 0.750), As at (0.500, 0.000, 0.500), Pd at (0.095, 0.163, 0.454), Pd at (0.324, 0.669, 0.453) and Pd at (0.499, 0.099, 0.255).

Its total energy is -4.29 eV/atom. The value obtained for the density of states at the Fermi level is 8.43 states/eV per cell.